Compound: Cs3Cu2ICl9
Source: Alexandria
Functional: PBE
Structure: optimized geometry

Output
Space-group type: P-3m1 (164)

Cell lengths 7.3395, 7.3395, 9.0284 Å; angles 90.00, 90.00, 120.00 degrees
Closest atoms and distances in Å follow each position.
Fractional coordinates of all 15 atoms:
Cl  0.6357  0.8178  0.3135  1 Cu 2.40
Cl  0.8178  0.1822  0.6865  1 Cu 2.40
Cl  0.5000  0.0000  0.0000  2 Cu 2.53
Cl  0.5000  0.5000  0.0000  2 Cu 2.53
Cl  0.3643  0.1822  0.6865  1 Cu 2.40
Cl  0.8178  0.6357  0.6865  1 Cu 2.40
Cl  0.1822  0.3643  0.3135  1 Cu 2.40
Cl  0.1822  0.8178  0.3135  1 Cu 2.40
Cl  0.0000  0.5000  0.0000  2 Cu 2.53
Cs  0.3333  0.6667  0.6771  12 Cl 3.60-3.80
Cs  0.0000  0.0000  0.0000  12 Cl 3.66-3.67
Cs  0.6667  0.3333  0.3229  12 Cl 3.60-3.80
I  0.0000  0.0000  0.5000  6 Cl 2.86
Cu  0.3333  0.6667  0.1533  6 Cl 2.40-2.53
Cu  0.6667  0.3333  0.8467  6 Cl 2.40-2.53



Compound: CsCuICl6
Source: Alexandria
Functional: PBE
Structure: optimized geometry

Output
Space-group type: P1 (1)

Cell lengths 9.3739, 11.3089, 5.9679 Å; angles 103.15, 94.40, 34.28 degrees
Closest atoms and distances in Å follow each position.
Fractional coordinates of all 9 atoms:
Cs  0.1066  0.9677  0.0213  5 Cl 3.50-3.65
Cl  0.5740  0.5375  0.2978  1 Cu 2.22
Cl  0.2696  0.0070  0.5661  1 Cu 2.22
Cl  0.0907  0.3501  0.2164  1 Cu 2.32
Cl  0.8105  0.7153  0.7292  1 Cu 2.33
Cl  0.7526  0.9940  0.3194  1 I 2.46
Cl  0.4164  0.4223  0.8677  1 I 2.47
I  0.3031  0.3503  0.5358  4 Cl 2.46-2.65
Cu  0.6762  0.6558  0.4463  4 Cl 2.22-2.33



Compound: CsIn2CuCl8
Source: Alexandria
Functional: PBE
Structure: optimized geometry

Output
Space-group type: R-3 (148)

Cell lengths 6.6435, 6.6435, 10.5239 Å; angles 71.60, 71.60, 60.00 degrees
Closest atoms and distances in Å follow each position.
Fractional coordinates of all 12 atoms:
Cu  0.0000  0.0000  0.0000  6 Cl 2.55
Cl  0.8207  0.8207  0.5378  1 In 2.41
Cl  0.1793  0.1793  0.4622  1 In 2.41
Cl  0.3589  0.7345  0.8478  1 In 2.41, 1 Cu 2.55
Cl  0.9412  0.6411  0.1522  1 In 2.41, 1 Cu 2.55
Cl  0.7345  0.0588  0.8478  1 In 2.41, 1 Cu 2.55
Cl  0.6411  0.2655  0.1522  1 In 2.41, 1 Cu 2.55
Cl  0.0588  0.3589  0.8478  1 In 2.41, 1 Cu 2.55
Cl  0.2655  0.9412  0.1522  1 In 2.41, 1 Cu 2.55
In  0.2614  0.2614  0.2159  4 Cl 2.41
In  0.7386  0.7386  0.7841  4 Cl 2.41
Cs  0.5000  0.5000  0.5000  12 Cl 3.85-4.08



Compound: CsInCu2Cl8
Source: Alexandria
Functional: PBE
Structure: optimized geometry

Output
Space-group type: R-3 (148)

Cell lengths 6.4913, 6.4913, 10.2329 Å; angles 71.51, 71.51, 60.00 degrees
Closest atoms and distances in Å follow each position.
Fractional coordinates of all 12 atoms:
In  0.0000  0.0000  0.0000  6 Cl 2.57
Cl  0.6291  0.2721  0.1569  1 Cu 2.29, 1 In 2.57
Cl  0.7279  0.0581  0.8431  1 Cu 2.29, 1 In 2.57
Cl  0.1854  0.1854  0.4437  1 Cu 2.20
Cl  0.3709  0.7279  0.8431  1 Cu 2.29, 1 In 2.57
Cl  0.0581  0.3709  0.8431  1 Cu 2.29, 1 In 2.57
Cl  0.2721  0.9419  0.1569  1 Cu 2.29, 1 In 2.57
Cl  0.8146  0.8146  0.5563  1 Cu 2.20
Cl  0.9419  0.6291  0.1569  1 Cu 2.29, 1 In 2.57
Cs  0.5000  0.5000  0.5000  12 Cl 3.79-3.93
Cu  0.2624  0.2624  0.2127  4 Cl 2.20-2.29
Cu  0.7376  0.7376  0.7873  4 Cl 2.20-2.29



Record order is preserved below.
M_tot: 0.0, 1.0, 0.1, 2.1 μB per cell
Record order is preserved below.
Energy relative to the elements, uncorrected: -1.004, -0.705, -1.112, -0.893 eV/atom